# 1
Crystalline Ba3ScMn at its relaxed geometry, computed with PBE-GGA.

It has space group Pm-3m (No. 221), with a = 5.863 Å, b = 5.863 Å, c = 5.863 Å, α = 90.00°, β = 90.00° and γ = 90.00°. The inequivalent atoms are Ba at (0.000, 0.000, 0.500), Sc at (0.500, 0.500, 0.500) and Mn at (0.000, 0.000, 0.000).

For the calculated total energy, the calculation gives -3.37 eV/atom. Its energy above the most stable polymorph in this dataset is 0.000 kcal/mol of atoms. The energy of formation from the pure elements comes out at 0.880 eV per atom.

# 2
Crystalline Ba2ScMn at its relaxed geometry, computed with PBE-GGA.

It has space group P4/mmm (No. 123), with a = 4.030 Å, b = 4.030 Å, c = 9.026 Å, α = 90.00°, β = 90.00° and γ = 90.00°. The inequivalent atoms are Ba at (0.000, 0.000, 0.222), Sc at (0.500, 0.500, 0.500) and Mn at (0.500, 0.500, 0.000).

For the calculated total energy, the calculation gives -4.26 eV/atom. Its energy above the most stable polymorph in this dataset is 5.282 kcal/mol of atoms. The energy of formation from the pure elements comes out at 0.576 eV per atom.

# 3
Crystalline Ba2ScMn at its relaxed geometry, computed with PBE-GGA.

It has space group Cm (No. 8), with a = 9.090 Å, b = 4.006 Å, c = 9.407 Å, α = 90.00°, β = 105.47° and γ = 90.00°. The inequivalent atoms are Ba at (0.000, 0.000, 0.000), Ba at (0.160, 0.000, 0.578), Sc at (0.279, 0.500, 0.289) and Mn at (0.489, 0.000, 0.289).

For the calculated total energy, the calculation gives -4.40 eV/atom. Its energy above the most stable polymorph in this dataset is 2.029 kcal/mol of atoms. The energy of formation from the pure elements comes out at 0.435 eV per atom.

# 4
Crystalline Ba2ScMnTe5 at its relaxed geometry, computed with PBE-GGA.

It has space group Cmc2_1 (No. 36), with a = 4.486 Å, b = 20.010 Å, c = 14.020 Å, α = 90.00°, β = 90.00° and γ = 90.00°. The inequivalent atoms are Ba at (0.000, 0.121, 0.000), Ba at (0.000, 0.129, 0.365), Sc at (0.000, 0.198, 0.698), Mn at (0.000, 0.434, 0.098), Te at (0.000, 0.045, 0.697), Te at (0.000, 0.305, 0.051), Te at (0.000, 0.305, 0.335), Te at (0.000, 0.341, 0.682) and Te at (0.000, 0.496, 0.935).

For the calculated total energy, the calculation gives -5.05 eV/atom. The value obtained for the formation energy from raw total energies is -1153 meV per atom.

# 5
Crystalline BaSc2MnV at its relaxed geometry, computed with PBE-GGA.

It has space group P4/mmm (No. 123), with a = 4.889 Å, b = 4.889 Å, c = 5.568 Å, α = 90.00°, β = 90.00° and γ = 90.00°. The inequivalent atoms are Ba at (0.000, 0.000, 0.000), Sc at (0.000, 0.500, 0.500), Mn at (0.000, 0.000, 0.500) and V at (0.500, 0.500, 0.000).

For the calculated total energy, the calculation gives -5.48 eV/atom. The energy of formation from the pure elements comes out at 1.094 eV per atom.

# 6
Crystalline Ba2ScMnW at its relaxed geometry, computed with PBE-GGA.

It has space group P4/mmm (No. 123), with a = 5.949 Å, b = 5.949 Å, c = 4.858 Å, α = 90.00°, β = 90.00° and γ = 90.00°. The inequivalent atoms are Ba at (0.000, 0.500, 0.000), Sc at (0.000, 0.000, 0.500), Mn at (0.000, 0.000, 0.000) and W at (0.500, 0.500, 0.500).

For the calculated total energy, the calculation gives -5.02 eV/atom. The energy of formation from the pure elements comes out at 1.443 eV per atom.

# 7
Crystalline BaMnSe4 at its relaxed geometry, computed with PBE-GGA.

It has space group F-43m (No. 216), with a = 8.510 Å, b = 8.510 Å, c = 8.510 Å, α = 90.00°, β = 90.00° and γ = 90.00°. The inequivalent atoms are Ba at (0.000, 0.000, 0.000), Mn at (0.250, 0.250, 0.750) and Se at (0.124, 0.124, 0.376).

For the calculated total energy, the calculation gives -4.18 eV/atom. The value obtained for the formation energy from raw total energies is -3 meV per atom.

# 8
Crystalline BaMnSe at its relaxed geometry, computed with PBE-GGA.

It has space group F-43m (No. 216), with a = 7.424 Å, b = 7.424 Å, c = 7.424 Å, α = 90.00°, β = 90.00° and γ = 90.00°. The inequivalent atoms are Ba at (0.000, 0.000, 0.000), Mn at (0.000, 0.000, 0.500) and Se at (0.250, 0.250, 0.750).

For the calculated total energy, the calculation gives -5.03 eV/atom. Its energy above the most stable polymorph in this dataset is 8.798 kcal/mol of atoms. The value obtained for the formation energy from raw total energies is -173 meV per atom.

# 9
Crystalline BaMnSe3 at its relaxed geometry, computed with PBE-GGA.

It has space group Cm (No. 8), with a = 13.521 Å, b = 6.306 Å, c = 8.348 Å, α = 90.00°, β = 113.39° and γ = 90.00°. The inequivalent atoms are Ba at (0.000, 0.000, 0.000), Ba at (0.027, 0.500, 0.486), Mn at (0.280, 0.300, 0.362), Se at (0.120, 0.500, 0.176), Se at (0.269, 0.000, 0.165), Se at (0.289, 0.500, 0.617), Se at (0.291, 0.000, 0.555), Se at (0.436, 0.500, 0.345) and Se at (0.463, 0.000, 0.832).

For the calculated total energy, the calculation gives -5.25 eV/atom. The value obtained for the formation energy from raw total energies is -944 meV per atom.

# 10
Crystalline BaMnSe at its relaxed geometry, computed with PBE-GGA.

It has space group I4mm (No. 107), with a = 3.789 Å, b = 3.789 Å, c = 11.743 Å, α = 90.00°, β = 90.00° and γ = 90.00°. The inequivalent atoms are Ba at (0.000, 0.000, 0.000), Mn at (0.000, 0.000, 0.288) and Se at (0.000, 0.000, 0.703).

For the calculated total energy, the calculation gives -5.18 eV/atom. Its energy above the most stable polymorph in this dataset is 5.334 kcal/mol of atoms. The value obtained for the formation energy from raw total energies is -323 meV per atom.

# 11
Crystalline BaMnSe3 at its relaxed geometry, computed with PBE-GGA.

It has space group Pmma (No. 51), with a = 8.741 Å, b = 4.227 Å, c = 7.900 Å, α = 90.00°, β = 90.00° and γ = 90.00°. The inequivalent atoms are Ba at (0.250, 0.000, 0.060), Mn at (0.250, 0.500, 0.633), Se at (0.036, 0.500, 0.811) and Se at (0.250, 0.000, 0.498).

For the calculated total energy, the calculation gives -5.20 eV/atom. The value obtained for the formation energy from raw total energies is -893 meV per atom.

# 12
Crystalline Ba2MnSe at its relaxed geometry, computed with PBE-GGA.

It has space group I-4m2 (No. 119), with a = 4.721 Å, b = 4.721 Å, c = 12.741 Å, α = 90.00°, β = 90.00° and γ = 90.00°. The inequivalent atoms are Ba at (0.000, 0.000, 0.000), Ba at (0.000, 0.500, 0.250), Mn at (0.000, 0.500, 0.750) and Se at (0.000, 0.000, 0.500).

For the calculated total energy, the calculation gives -4.43 eV/atom. The value obtained for the formation energy from raw total energies is -303 meV per atom.